LiAs2Pd3: relaxed, PBE-GGA.

a = 7.7723 Å, b = 7.7723 Å, c = 6.6955 Å
α = 106.44°, β = 106.44°, γ = 31.14°
Fractional coordinates of all 12 atoms:
Li 0.1236 0.1236 0.1653
Li 0.8764 0.8764 0.8347
As 0.2326 0.2326 0.7048
As 0.4940 0.4940 0.1875
As 0.5060 0.5060 0.8125
As 0.7674 0.7674 0.2952
Pd 0.0654 0.0654 0.7027
Pd 0.3115 0.3115 0.0864
Pd 0.3577 0.3577 0.5206
Pd 0.6423 0.6423 0.4794
Pd 0.6885 0.6885 0.9136
Pd 0.9346 0.9346 0.2973

=====

AcThAl4: relaxed, PBE-GGA.

a = 8.3780 Å, b = 8.3780 Å, c = 8.3780 Å
α = 149.30°, β = 149.30°, γ = 43.98°
Fractional coordinates of all 6 atoms:
Ac 0.0000 0.0000 0.0000
Th 0.7500 0.2500 0.5000
Al 0.1694 0.6694 0.5000
Al 0.3306 0.8306 0.5000
Al 0.4144 0.4144 0.0000
Al 0.5856 0.5856 0.0000

=====

Pm2NdAu: relaxed, PBE-GGA.

a = 3.7232 Å, b = 3.7232 Å, c = 8.6807 Å
α = 90.00°, β = 90.00°, γ = 90.00°
Fractional coordinates of all 4 atoms:
Pm 0.0000 0.0000 0.2058
Pm 0.0000 0.0000 0.7942
Nd 0.5000 0.5000 0.5000
Au 0.5000 0.5000 0.0000

=====

| no. | energy of formation from the pure elements (eV per atom) | E_tot (eV/atom) |
| --- | --- | --- |
| 1 | -0.449 | -4.914 |
| 2 | -0.401 | -4.817 |
| 3 | -0.367 | -4.754 |